(1)
Here is crystalline CaHPd at its relaxed geometry from Alexandria. Energies are from GGA-PBE.

The size of the total moment is 0.000 μB per formula unit. Its energy above the most stable polymorph in this dataset is 3 meV per atom.

The structure belongs to space group Imma (No. 74); the cell edges are 5.123, 7.116 and 5.089 Å and the angles 90.00°, 90.00° and 90.00°. The asymmetric unit holds Ca at (0.000, 0.000, 0.000), H at (0.250, 0.250, 0.250) and Pd at (0.000, 0.250, 0.513).

(2)
Here is crystalline CaH6Pd3 at its relaxed geometry from Alexandria. Energies are from GGA-PBE.

The size of the total moment is 0.000 μB per formula unit. Its energy above the most stable polymorph in this dataset is 0 meV per atom.

The structure belongs to space group P1 (No. 1); the cell edges are 4.963, 4.976 and 5.199 Å and the angles 91.06°, 117.83° and 119.48°. The asymmetric unit holds Ca at (0.000, 0.000, 0.000), H at (0.011, 0.142, 0.512), H at (0.017, 0.485, 0.056), H at (0.367, 0.864, 0.520), H at (0.525, 0.042, 0.061), H at (0.569, 0.533, 0.051), H at (0.643, 0.504, 0.514), Pd at (0.482, 0.244, 0.723), Pd at (0.527, 0.766, 0.292) and Pd at (0.914, 0.457, 0.372).

(3)
Here is crystalline CaHPd3 at its relaxed geometry from Alexandria. Energies are from GGA-PBE.

The size of the total moment is 0.000 μB per formula unit. Its energy above the most stable polymorph in this dataset is 217 meV per atom.

The structure belongs to space group I-4m2 (No. 119); the cell edges are 5.450, 5.450 and 10.625 Å and the angles 90.00°, 90.00° and 90.00°. The asymmetric unit holds Ca at (0.000, 0.000, 0.159), H at (0.000, 0.000, 0.500), H at (0.000, 0.500, 0.250), Pd at (0.000, 0.254, 0.389) and Pd at (0.000, 0.500, 0.622).

(4)
Here is crystalline CaH4Pd5 at its relaxed geometry from Alexandria. Energies are from GGA-PBE.

The size of the total moment is 0.000 μB per formula unit. The total energy is -88.22 eV for the cell shown.

The structure belongs to space group Pmmn (No. 59, origin choice 2); the cell edges are 5.810, 8.429 and 4.743 Å and the angles 90.00°, 90.00° and 90.00°. The asymmetric unit holds Ca at (0.250, 0.250, 0.234), H at (0.067, 0.750, 0.452), H at (0.250, 0.530, 0.891), Pd at (0.005, 0.581, 0.247) and Pd at (0.250, 0.750, 0.770).

(5)
Here is crystalline Ca2H3Pd2 at its relaxed geometry from Alexandria. Energies are from GGA-PBE.

The size of the total moment is 0.000 μB per formula unit. The total energy is -56.33 eV for the cell shown.

The structure belongs to space group C2/m (No. 12); the cell edges are 11.044, 3.498 and 5.163 Å and the angles 90.00°, 96.22° and 90.00°. The asymmetric unit holds Ca at (0.133, 0.000, 0.243), H at (0.000, 0.500, 0.000), H at (0.144, 0.000, 0.724) and Pd at (0.098, 0.500, 0.732).

(6)
Here is crystalline CaHPd3 at its relaxed geometry from Alexandria. Energies are from GGA-PBE.

The size of the total moment is 0.000 μB per formula unit. Its energy above the most stable polymorph in this dataset is 197 meV per atom.

The structure belongs to space group R-3c (No. 167, hexagonal axes); the cell edges are 7.4264, 7.4264 and 9.7144 Å and the angles 90.00°, 90.00° and 120.00°. The asymmetric unit holds Ca at (0.0000, 0.0000, 0.0000), H at (0.0000, 0.0000, 0.2500) and Pd at (0.0000, 0.2427, 0.2500).

| no. | theoretical density (g/cm3) |
| --- | --- |
| 1 | 5.3 |
| 2 | 6.5 |
| 3 | 7.6 |
| 4 | 8.2 |
| 5 | 5.0 |
| 6 | 7.7 |